A plane-wave DFT calculation with PBE-GGA was carried out for a geometry-optimized HfSnAu2 structure.

Cell lengths 3.357, 3.357, 7.409 Å; angles 90.00, 90.00, 90.00 degrees
Fractional positions:
Hf (0.000, 0.000, 0.000)
Sn (0.000, 0.000, 0.500)
Au (0.500, 0.500, 0.228)
Au (0.500, 0.500, 0.772)

Results
Formation enthalpy at 0 K (eV per atom): -0.311
Spin magnetization (Bohr magnetons per cell): 0.22
Symmetry: P4/mmm, No. 123
D(E_F) (states/eV per cell): 2.52

A plane-wave DFT calculation with PBE-GGA was carried out for a geometry-optimized Hf3SnAu structure.

Cell lengths 5.924, 5.924, 8.272 Å; angles 91.32, 91.32, 50.53 degrees
Fractional positions:
Hf (0.042, 0.042, 0.314)
Hf (0.138, 0.138, 0.968)
Hf (0.333, 0.333, 0.270)
Hf (0.667, 0.667, 0.730)
Hf (0.862, 0.862, 0.032)
Hf (0.958, 0.958, 0.686)
Sn (0.400, 0.400, 0.849)
Sn (0.600, 0.600, 0.151)
Au (0.211, 0.211, 0.581)
Au (0.789, 0.789, 0.419)

Results
Formation enthalpy at 0 K (eV per atom): -0.100
Spin magnetization (Bohr magnetons per cell): 0.00
Symmetry: C2/m, No. 12
D(E_F) (states/eV per cell): 11.67

A plane-wave DFT calculation with PBE-GGA was carried out for a geometry-optimized Hf5Sn2Au structure.

Cell lengths 7.289, 7.289, 12.101 Å; angles 90.00, 90.00, 140.79 degrees
Fractional positions:
Hf (0.107, 0.893, 0.618)
Hf (0.107, 0.893, 0.882)
Hf (0.307, 0.693, 0.250)
Hf (0.310, 0.690, 0.510)
Hf (0.310, 0.690, 0.990)
Hf (0.690, 0.310, 0.010)
Hf (0.690, 0.310, 0.490)
Hf (0.693, 0.307, 0.750)
Hf (0.893, 0.107, 0.118)
Hf (0.893, 0.107, 0.382)
Sn (0.107, 0.893, 0.126)
Sn (0.107, 0.893, 0.374)
Sn (0.893, 0.107, 0.626)
Sn (0.893, 0.107, 0.874)
Au (0.302, 0.698, 0.750)
Au (0.698, 0.302, 0.250)

Results
Formation enthalpy at 0 K (eV per atom): 0.145
Spin magnetization (Bohr magnetons per cell): 0.00
Symmetry: Cmcm, No. 63
D(E_F) (states/eV per cell): 15.77

A plane-wave DFT calculation with PBE-GGA was carried out for a geometry-optimized HfSnAu2 structure.

Cell lengths 6.477, 6.477, 6.477 Å; angles 153.78, 133.07, 54.55 degrees
Fractional positions:
Hf (0.000, 0.000, 0.000)
Sn (0.500, 0.500, 0.000)
Au (0.241, 0.241, 0.000)
Au (0.759, 0.759, 0.000)

Results
Formation enthalpy at 0 K (eV per atom): -0.003
Spin magnetization (Bohr magnetons per cell): 0.00
Symmetry: Immm, No. 71
D(E_F) (states/eV per cell): 1.71